# 1
Computed, not measured: a relaxed structure of Pb5Au3 at the GGA-PBEsol level of DFT.

Geometry as CIF:
```
data_Pb5Au3
_chemical_formula_sum 'Pb10 Au6'
_space_group_name_H-M_alt 'C m m m'
_space_group_IT_number 65
_space_group_name_Hall '-C 2 2'
_cell_length_a 8.0596
_cell_length_b 9.9358
_cell_length_c 4.8712
_cell_angle_alpha 90.00
_cell_angle_beta 90.00
_cell_angle_gamma 90.00
loop_
_atom_site_label
_atom_site_type_symbol
_atom_site_fract_x
_atom_site_fract_y
_atom_site_fract_z
_atom_site_occupancy
Pb1 Pb 0.0000 0.0000 0.0000 1
Pb2 Pb 0.2088 0.5000 0.5000 1
Pb3 Pb 0.2500 0.2500 0.0000 1
Au1 Au 0.0000 0.2117 0.5000 1
Au2 Au 0.0000 0.5000 0.0000 1
```

- Crystal system: orthorhombic
- Energy of formation: 0.031 eV per atom
- Distance to the lowest polymorph of the same formula: 44 kJ/mol of formula units
- Final energy: -3.940 eV/atom
- Size of the total moment: 0.00 μB per cell


# 2
Computed, not measured: a relaxed structure of ZrTaTc2 at the GGA-PBEsol level of DFT.

Geometry as CIF:
```
data_ZrTaTc2
_chemical_formula_sum 'Zr1 Ta1 Tc2'
_space_group_name_H-M_alt 'P 4/m m m'
_space_group_IT_number 123
_space_group_name_Hall '-P 4 2'
_cell_length_a 3.1888
_cell_length_b 3.1888
_cell_length_c 6.4235
_cell_angle_alpha 90.00
_cell_angle_beta 90.00
_cell_angle_gamma 90.00
loop_
_atom_site_label
_atom_site_type_symbol
_atom_site_fract_x
_atom_site_fract_y
_atom_site_fract_z
_atom_site_occupancy
Zr1 Zr 0.0000 0.0000 0.0000 1
Ta1 Ta 0.0000 0.0000 0.5000 1
Tc1 Tc 0.5000 0.5000 0.2601 1
```

- Crystal system: tetragonal
- Energy of formation: -0.423 eV per atom
- Final energy: -11.466 eV/atom
- Size of the total moment: 0.00 μB per cell


# 3
Computed, not measured: a relaxed structure of Fe2NiHPd at the GGA-PBEsol level of DFT.

Geometry as CIF:
```
data_Fe2NiHPd
_chemical_formula_sum 'Fe2 Ni1 H1 Pd1'
_space_group_name_H-M_alt 'P 4/m m m'
_space_group_IT_number 123
_space_group_name_Hall '-P 4 2'
_cell_length_a 3.6610
_cell_length_b 3.6610
_cell_length_c 3.6996
_cell_angle_alpha 90.00
_cell_angle_beta 90.00
_cell_angle_gamma 90.00
loop_
_atom_site_label
_atom_site_type_symbol
_atom_site_fract_x
_atom_site_fract_y
_atom_site_fract_z
_atom_site_occupancy
Fe1 Fe 0.0000 0.5000 0.0000 1
Ni1 Ni 0.0000 0.0000 0.5000 1
H1 H 0.0000 0.0000 0.0000 1
Pd1 Pd 0.5000 0.5000 0.5000 1
```

- Crystal system: tetragonal
- Final energy: -6.697 eV/atom
- Size of the total moment: 6.13 μB per cell


# 4
Computed, not measured: a relaxed structure of La2YSc at the GGA-PBEsol level of DFT.

Geometry as CIF:
```
data_La2YSc
_chemical_formula_sum 'La6 Y3 Sc3'
_space_group_name_H-M_alt 'R 3 m'
_space_group_IT_number 160
_space_group_name_Hall 'R 3 -2"'
_cell_length_a 3.5094
_cell_length_b 3.5094
_cell_length_c 34.1305
_cell_angle_alpha 90.00
_cell_angle_beta 90.00
_cell_angle_gamma 120.00
loop_
_atom_site_label
_atom_site_type_symbol
_atom_site_fract_x
_atom_site_fract_y
_atom_site_fract_z
_atom_site_occupancy
La1 La 0.0000 0.0000 0.0000 1
La2 La 0.0000 0.0000 0.2454 1
Y1 Y 0.0000 0.0000 0.7546 1
Sc1 Sc 0.0000 0.0000 0.4984 1
```

- Crystal system: trigonal
- Energy of formation: 0.058 eV per atom
- Distance to the lowest polymorph of the same formula: 11 kJ/mol of formula units
- Final energy: -5.972 eV/atom
- Size of the total moment: 0.00 μB per cell


# 5
Computed, not measured: a relaxed structure of LaTe3Os at the GGA-PBEsol level of DFT.

Geometry as CIF:
```
data_LaTe3Os
_chemical_formula_sum 'La1 Te3 Os1'
_space_group_name_H-M_alt 'P m -3 m'
_space_group_IT_number 221
_space_group_name_Hall '-P 4 2 3'
_cell_length_a 5.2148
_cell_length_b 5.2148
_cell_length_c 5.2148
_cell_angle_alpha 90.00
_cell_angle_beta 90.00
_cell_angle_gamma 90.00
loop_
_atom_site_label
_atom_site_type_symbol
_atom_site_fract_x
_atom_site_fract_y
_atom_site_fract_z
_atom_site_occupancy
La1 La 0.0000 0.0000 0.0000 1
Te1 Te 0.0000 0.5000 0.5000 1
Os1 Os 0.5000 0.5000 0.5000 1
```

- Formation energy (no corrections): -0.061 eV per atom
- Crystal system: cubic
- Final energy: -5.689 eV/atom
- Size of the total moment: 0.08 μB per cell


# 6
Computed, not measured: a relaxed structure of Ba2TlRe at the GGA-PBEsol level of DFT.

Geometry as CIF:
```
data_Ba2TlRe
_chemical_formula_sum 'Ba4 Tl2 Re2'
_space_group_name_H-M_alt 'C m m m'
_space_group_IT_number 65
_space_group_name_Hall '-C 2 2'
_cell_length_a 8.1580
_cell_length_b 8.2046
_cell_length_c 3.6754
_cell_angle_alpha 90.00
_cell_angle_beta 90.00
_cell_angle_gamma 90.00
loop_
_atom_site_label
_atom_site_type_symbol
_atom_site_fract_x
_atom_site_fract_y
_atom_site_fract_z
_atom_site_occupancy
Ba1 Ba 0.2500 0.2500 0.0000 1
Tl1 Tl 0.0000 0.0000 0.5000 1
Re1 Re 0.0000 0.5000 0.5000 1
```

- Crystal system: orthorhombic
- Energy of formation: 0.853 eV per atom
- Distance to the lowest polymorph of the same formula: 78 kJ/mol of formula units
- Final energy: -4.212 eV/atom
- Size of the total moment: 4.38 μB per cell


# 7
Computed, not measured: a relaxed structure of ZrCrBr2 at the GGA-PBEsol level of DFT.

Geometry as CIF:
```
data_ZrCrBr2
_chemical_formula_sum 'Zr1 Cr1 Br2'
_space_group_name_H-M_alt 'P 4 m m'
_space_group_IT_number 99
_cell_length_a 3.4019
_cell_length_b 3.4019
_cell_length_c 7.6908
_cell_angle_alpha 90.00
_cell_angle_beta 90.00
_cell_angle_gamma 90.00
loop_
_space_group_symop_operation_xyz
'x,y,z'
'-y,x,z'
'-x,-y,z'
'y,-x,z'
'-x,y,z'
'y,x,z'
'x,-y,z'
'-y,-x,z'
loop_
_atom_site_label
_atom_site_type_symbol
_atom_site_fract_x
_atom_site_fract_y
_atom_site_fract_z
_atom_site_occupancy
Zr1 Zr 0.0000 0.0000 0.0000 1
Cr1 Cr 0.5000 0.5000 0.7950 1
Br1 Br 0.0000 0.0000 0.6277 1
Br2 Br 0.5000 0.5000 0.2252 1
```

- Formation energy (no corrections): -0.345 eV per atom
- Crystal system: tetragonal
- Distance to the lowest polymorph of the same formula: 0 kJ/mol of formula units
- Final energy: -6.113 eV/atom
- Size of the total moment: 4.01 μB per cell


# 8
Computed, not measured: a relaxed structure of Li4B7ClO12 at the GGA-PBEsol level of DFT.

Geometry as CIF:
```
data_Li4B7ClO12
_chemical_formula_sum 'Li24 B42 Cl6 O72'
_space_group_name_H-M_alt 'R 3 c'
_space_group_IT_number 161
_space_group_name_Hall 'R 3 -2"c'
_cell_length_a 8.5785
_cell_length_b 8.5785
_cell_length_c 20.9683
_cell_angle_alpha 90.00
_cell_angle_beta 90.00
_cell_angle_gamma 120.00
loop_
_atom_site_label
_atom_site_type_symbol
_atom_site_fract_x
_atom_site_fract_y
_atom_site_fract_z
_atom_site_occupancy
Li1 Li 0.0000 0.0000 0.0000 1
Li2 Li 0.0456 0.5224 0.3574 1
B1 B 0.0000 0.0000 0.2674 1
B2 B 0.0015 0.4959 0.1141 1
B3 B 0.1964 0.3922 0.0638 1
Cl1 Cl 0.0000 0.0000 0.1188 1
O1 O 0.0036 0.4230 0.1779 1
O2 O 0.0229 0.2958 0.3991 1
O3 O 0.1474 0.4590 0.6156 1
O4 O 0.1647 0.0104 0.2663 1
```

- Formation energy (no corrections): -2.417 eV per atom
- Crystal system: trigonal
- Final energy: -7.500 eV/atom
- Size of the total moment: 0.01 μB per cell


# 9
Computed, not measured: a relaxed structure of TiAgAs2Se at the GGA-PBEsol level of DFT.

Geometry as CIF:
```
data_TiAgAs2Se
_chemical_formula_sum 'Ti1 Ag1 As2 Se1'
_space_group_name_H-M_alt 'P 4/m m m'
_space_group_IT_number 123
_space_group_name_Hall '-P 4 2'
_cell_length_a 4.8411
_cell_length_b 4.8411
_cell_length_c 4.7957
_cell_angle_alpha 90.00
_cell_angle_beta 90.00
_cell_angle_gamma 90.00
loop_
_atom_site_label
_atom_site_type_symbol
_atom_site_fract_x
_atom_site_fract_y
_atom_site_fract_z
_atom_site_occupancy
Ti1 Ti 0.0000 0.0000 0.0000 1
Ag1 Ag 0.5000 0.5000 0.5000 1
As1 As 0.0000 0.5000 0.0000 1
Se1 Se 0.0000 0.0000 0.5000 1
```

- Formation energy (no corrections): 0.172 eV per atom
- Crystal system: tetragonal
- Distance to the lowest polymorph of the same formula: 0 kJ/mol of formula units
- Final energy: -4.967 eV/atom
- Size of the total moment: 0.00 μB per cell


# 10
Computed, not measured: a relaxed structure of La2CuRu2 at the GGA-PBEsol level of DFT.

Geometry as CIF:
```
data_La2CuRu2
_chemical_formula_sum 'La4 Cu2 Ru4'
_space_group_name_H-M_alt 'I 4/m m m'
_space_group_IT_number 139
_space_group_name_Hall '-I 4 2'
_cell_length_a 5.3371
_cell_length_b 5.3371
_cell_length_c 7.5615
_cell_angle_alpha 90.00
_cell_angle_beta 90.00
_cell_angle_gamma 90.00
loop_
_atom_site_label
_atom_site_type_symbol
_atom_site_fract_x
_atom_site_fract_y
_atom_site_fract_z
_atom_site_occupancy
La1 La 0.0000 0.5000 0.2500 1
Cu1 Cu 0.0000 0.0000 0.0000 1
Ru1 Ru 0.0000 0.0000 0.3299 1
```

- Crystal system: tetragonal
- Energy of formation: 0.254 eV per atom
- Final energy: -6.820 eV/atom
- Size of the total moment: 0.00 μB per cell